[1]
The following is a PBE-GGA calculation of a relaxed structure of Y2PbF2, from Alexandria via LeMat-Bulk.

size of the total moment = 0.0 μB/cell
mass density = 7.1 g/cm3
E_form (uncorrected) = -11.67 eV per formula unit
ΔE to the lowest computed polymorph = 0 meV per atom

Unit cell a=3.888 b=3.888 c=13.087 alpha=90.00 beta=90.00 gamma=90.00
Space group I4/mmm (No. 139)
Asymmetric unit:
1 Y 0.000 0.000 0.136 [4 per cell]
2 Pb 0.000 0.000 0.500 [2 per cell]
3 F 0.000 0.500 0.250 [4 per cell]

[2]
The following is a PBE-GGA calculation of a relaxed structure of Y3Pb4F17, from Alexandria via LeMat-Bulk.

size of the total moment = 0.0 μB/cell
mass density = 6.7 g/cm3
E_form (uncorrected) = -78.45 eV per formula unit

Unit cell a=9.192 b=9.228 c=9.279 alpha=72.79 beta=72.94 gamma=72.98
Space group P1 (No. 1)
Asymmetric unit:
1 Y 0.000 0.000 0.000 [1 per cell]
2 Y 0.054 0.658 0.787 [1 per cell]
3 Y 0.141 0.310 0.553 [1 per cell]
4 Y 0.373 0.229 0.921 [1 per cell]
5 Y 0.718 0.448 0.856 [1 per cell]
6 Y 0.922 0.374 0.222 [1 per cell]
7 Pb 0.240 0.935 0.353 [1 per cell]
8 Pb 0.277 0.576 0.122 [1 per cell]
9 Pb 0.433 0.874 0.692 [1 per cell]
10 Pb 0.494 0.534 0.495 [1 per cell]
11 Pb 0.584 0.158 0.279 [1 per cell]
12 Pb 0.644 0.790 0.067 [1 per cell]
13 Pb 0.798 0.099 0.649 [1 per cell]
14 Pb 0.858 0.733 0.432 [1 per cell]
15 F 0.024 0.196 0.429 [1 per cell]
16 F 0.046 0.484 0.340 [1 per cell]
17 F 0.074 0.104 0.740 [1 per cell]
18 F 0.080 0.818 0.215 [1 per cell]
19 F 0.116 0.552 0.578 [1 per cell]
20 F 0.175 0.792 0.904 [1 per cell]
21 F 0.182 0.297 0.125 [1 per cell]
22 F 0.227 0.053 0.981 [1 per cell]
23 F 0.266 0.751 0.613 [1 per cell]
24 F 0.271 0.489 0.849 [1 per cell]
25 F 0.321 0.258 0.692 [1 per cell]
26 F 0.324 0.098 0.473 [1 per cell]
27 F 0.358 0.385 0.365 [1 per cell]
28 F 0.398 0.700 0.246 [1 per cell]
29 F 0.455 0.047 0.135 [1 per cell]
30 F 0.493 0.350 0.033 [1 per cell]
31 F 0.505 0.829 0.408 [1 per cell]
32 F 0.508 0.661 0.936 [1 per cell]
33 F 0.554 0.013 0.843 [1 per cell]
34 F 0.581 0.328 0.747 [1 per cell]
35 F 0.614 0.625 0.648 [1 per cell]
36 F 0.669 0.976 0.519 [1 per cell]
37 F 0.709 0.291 0.410 [1 per cell]
38 F 0.720 0.444 0.101 [1 per cell]
39 F 0.741 0.583 0.317 [1 per cell]
40 F 0.785 0.915 0.184 [1 per cell]
41 F 0.790 0.186 0.939 [1 per cell]
42 F 0.801 0.676 0.792 [1 per cell]
43 F 0.877 0.390 0.633 [1 per cell]
44 F 0.888 0.885 0.879 [1 per cell]
45 F 0.928 0.146 0.179 [1 per cell]
46 F 0.971 0.596 0.051 [1 per cell]
47 F 0.982 0.410 0.870 [1 per cell]
48 F 0.983 0.861 0.567 [1 per cell]

[3]
The following is a PBE-GGA calculation of a relaxed structure of YPb2F8, from Alexandria via LeMat-Bulk.

size of the total moment = 0.0 μB/cell
mass density = 6.2 g/cm3
E_form (uncorrected) = -31.11 eV per formula unit
ΔE to the lowest computed polymorph = 0 meV per atom

Unit cell a=17.282 b=3.849 c=5.415 alpha=90.00 beta=101.87 gamma=90.00
Space group C2/m (No. 12)
Asymmetric unit:
1 Y 0.000 0.000 0.000 [2 per cell]
2 Pb 0.154 0.500 0.551 [4 per cell]
3 F 0.022 0.500 0.237 [4 per cell]
4 F 0.090 0.000 0.747 [4 per cell]
5 F 0.124 0.000 0.267 [4 per cell]
6 F 0.245 0.000 0.691 [4 per cell]

[4]
The following is a PBE-GGA calculation of a relaxed structure of Y2PbF, from Alexandria via LeMat-Bulk.

size of the total moment = 0.0 μB/cell
mass density = 6.4 g/cm3
E_form (uncorrected) = -4.02 eV per formula unit
ΔE to the lowest computed polymorph = 423 meV per atom

Unit cell a=3.6283 b=3.6283 c=27.5481 alpha=90.00 beta=90.00 gamma=120.00
Space group R-3m (No. 166, hexagonal axes)
Asymmetric unit:
1 Y 0.0000 0.0000 0.1127 [6 per cell]
2 Pb 0.0000 0.0000 0.0000 [3 per cell]
3 F 0.0000 0.0000 0.5000 [3 per cell]

[5]
The following is a PBE-GGA calculation of a relaxed structure of Y2PbF, from Alexandria via LeMat-Bulk.

size of the total moment = 0.0 μB/cell
mass density = 6.0 g/cm3
E_form (uncorrected) = -5.71 eV per formula unit
ΔE to the lowest computed polymorph = 0 meV per atom

Unit cell a=8.062 b=6.826 c=8.184 alpha=90.00 beta=96.76 gamma=90.00
Space group P2_1/c (No. 14)
Asymmetric unit:
1 Y 0.197 0.149 0.041 [4 per cell]
2 Y 0.302 0.651 0.929 [4 per cell]
3 Pb 0.059 0.585 0.205 [4 per cell]
4 F 0.415 0.146 0.544 [4 per cell]

[6]
The following is a PBE-GGA calculation of a relaxed structure of Y2PbF, from Alexandria via LeMat-Bulk.

size of the total moment = 3.1 μB/cell
mass density = 6.9 g/cm3
E_form (uncorrected) = -4.45 eV per formula unit
ΔE to the lowest computed polymorph = 314 meV per atom

Unit cell a=7.312 b=7.312 c=7.312 alpha=90.00 beta=90.00 gamma=90.00
Space group Fm-3m (No. 225)
Asymmetric unit:
1 Y 0.250 0.250 0.250 [8 per cell]
2 Pb 0.000 0.000 0.000 [4 per cell]
3 F 0.000 0.000 0.500 [4 per cell]

[7]
The following is a PBE-GGA calculation of a relaxed structure of Y2Pb2F, from Alexandria via LeMat-Bulk.

size of the total moment = 0.0 μB/cell
mass density = 8.1 g/cm3
E_form (uncorrected) = -6.11 eV per formula unit
ΔE to the lowest computed polymorph = 0 meV per atom

Unit cell a=6.836 b=6.836 c=5.344 alpha=90.00 beta=90.00 gamma=90.00
Space group P4/mbm (No. 127)
Asymmetric unit:
1 Y 0.171 0.329 0.000 [4 per cell]
2 Pb 0.165 0.665 0.500 [4 per cell]
3 F 0.000 0.000 0.000 [2 per cell]

[8]
The following is a PBE-GGA calculation of a relaxed structure of YPbF3, from Alexandria via LeMat-Bulk.

size of the total moment = 1.7 μB/cell
mass density = 5.3 g/cm3
E_form (uncorrected) = -8.20 eV per formula unit
ΔE to the lowest computed polymorph = 1039 meV per atom

Unit cell a=4.802 b=4.802 c=4.802 alpha=90.00 beta=90.00 gamma=90.00
Space group Pm-3m (No. 221)
Asymmetric unit:
1 Y 0.000 0.000 0.000 [1 per cell]
2 Pb 0.500 0.500 0.500 [1 per cell]
3 F 0.000 0.500 0.500 [3 per cell]